Here is RhCSe3 after structural relaxation from the Alexandria database. Energies are from GGA-PBEsol.

* ρ: 5.4 g/cm3
* formation energy without anion corrections: 1755 meV per atom
* calculated volume: 21.682 A^3/atom

Geometry as POSCAR:
```
RhCSe3
1.0
4.768 0.000 0.000
0.000 4.768 0.000
0.000 0.000 4.768
Rh C Se
1 1 3
Direct
0.000 0.000 0.000
0.500 0.500 0.500
0.000 0.000 0.500
0.000 0.500 0.000
0.500 0.000 0.000
```